Record 1
Density functional theory data (PBE) for a geometry-optimized Co2RuRh structure.

Summary:
E_tot in eV per cell: -30.4
Calculated formation energy in eV per atom: 0.12
Distance to the lowest polymorph of the same formula in eV per atom: 0.010
Magnetic moment in μB per atom: 0.690

Cell lengths 2.645, 3.662, 5.181 Å; angles 90.00, 90.00, 90.00 degrees
Space group Pmm2 (No. 25)
Inequivalent atoms, fractional coordinates:
Co: 0.000 0.000 0.000 (multiplicity 1)
Co: 0.500 0.500 0.227 (multiplicity 1)
Ru: 0.500 0.500 0.751 (multiplicity 1)
Rh: 0.000 0.000 0.488 (multiplicity 1)

Record 2
Density functional theory data (PBE) for a geometry-optimized CoRuRh2 structure.

Summary:
E_tot in eV per cell: -61.3
Calculated formation energy in eV per atom: 0.11
Distance to the lowest polymorph of the same formula in eV per atom: 0.046
Magnetic moment in μB per atom: 0.561

Cell lengths 5.341, 7.531, 2.680 Å; angles 90.00, 90.00, 90.00 degrees
Space group Cmmm (No. 65)
Inequivalent atoms, fractional coordinates:
Co: 0.000 0.000 0.000 (multiplicity 2)
Ru: 0.000 0.500 0.000 (multiplicity 2)
Rh: 0.250 0.250 0.500 (multiplicity 4)

Record 3
Density functional theory data (PBE) for a geometry-optimized Co2RuRh2 structure.

Summary:
E_tot in eV per cell: -72.9
Calculated formation energy in eV per atom: 0.35
Distance to the lowest polymorph of the same formula in eV per atom: 0.066
Magnetic moment in μB per atom: 0.966

Cell lengths 7.126, 7.126, 2.661 Å; angles 90.00, 90.00, 90.00 degrees
Space group P4/mbm (No. 127)
Inequivalent atoms, fractional coordinates:
Co: 0.169 0.331 0.000 (multiplicity 4)
Ru: 0.000 0.000 0.500 (multiplicity 2)
Rh: 0.130 0.630 0.500 (multiplicity 4)

Record 4
Density functional theory data (PBE) for a geometry-optimized CoRuRh2 structure.

Summary:
E_tot in eV per cell: -116.1
Calculated formation energy in eV per atom: 0.51
Distance to the lowest polymorph of the same formula in eV per atom: 0.449
Magnetic moment in μB per atom: 0.000

Cell lengths 3.682, 3.682, 17.062 Å; angles 90.00, 90.00, 90.00 degrees
Space group I-42d (No. 122)
Inequivalent atoms, fractional coordinates:
Co: 0.000 0.000 0.000 (multiplicity 4)
Ru: 0.000 0.000 0.500 (multiplicity 4)
Rh: 0.237 0.250 0.125 (multiplicity 8)

Record 5
Density functional theory data (PBE) for a geometry-optimized CoRuRh4 structure.

Summary:
E_tot in eV per cell: -88.6
Calculated formation energy in eV per atom: 0.25
Distance to the lowest polymorph of the same formula in eV per atom: 0.189
Magnetic moment in μB per atom: 0.324

Cell lengths 5.149, 7.285, 5.153 Å; angles 90.00, 117.87, 90.00 degrees
Space group C2/m (No. 12)
Inequivalent atoms, fractional coordinates:
Co: 0.000 0.000 0.000 (multiplicity 2)
Ru: 0.000 0.500 0.500 (multiplicity 2)
Rh: 0.249 0.309 0.247 (multiplicity 8)

Record 6
Density functional theory data (PBE) for a geometry-optimized Co2RuRh structure.

Summary:
E_tot in eV per cell: -30.4
Calculated formation energy in eV per atom: 0.11
Distance to the lowest polymorph of the same formula in eV per atom: 0.000
Magnetic moment in μB per atom: 0.841

Cell lengths 2.659, 2.659, 7.125 Å; angles 90.00, 90.00, 90.00 degrees
Space group P4mm (No. 99)
Inequivalent atoms, fractional coordinates:
Co: 0.000 0.000 0.000 (multiplicity 1)
Co: 0.500 0.500 0.222 (multiplicity 1)
Ru: 0.500 0.500 0.749 (multiplicity 1)
Rh: 0.000 0.000 0.481 (multiplicity 1)

Record 7
Density functional theory data (PBE) for a geometry-optimized Co2RuRh structure.

Summary:
E_tot in eV per cell: -59.8
Calculated formation energy in eV per atom: 0.24
Distance to the lowest polymorph of the same formula in eV per atom: 0.130
Magnetic moment in μB per atom: 1.102

Cell lengths 2.738, 4.315, 8.633 Å; angles 90.00, 90.00, 90.00 degrees
Space group Imm2 (No. 44)
Inequivalent atoms, fractional coordinates:
Co: 0.000 0.000 0.000 (multiplicity 2)
Co: 0.000 0.500 0.278 (multiplicity 2)
Ru: 0.000 0.000 0.527 (multiplicity 2)
Rh: 0.000 0.500 0.755 (multiplicity 2)

Record 8
Density functional theory data (PBE) for a geometry-optimized CoRu4Rh structure.

Summary:
E_tot in eV per cell: -190.2
Calculated formation energy in eV per atom: 0.67
Magnetic moment in μB per atom: 0.874

Cell lengths 7.107, 7.107, 7.107 Å; angles 90.00, 90.00, 90.00 degrees
Space group F-43m (No. 216)
Inequivalent atoms, fractional coordinates:
Co: 0.000 0.000 0.000 (multiplicity 4)
Ru: 0.125 0.125 0.375 (multiplicity 16)
Rh: 0.250 0.250 0.750 (multiplicity 4)

Record 9
Density functional theory data (PBE) for a geometry-optimized Co2RuRh structure.

Summary:
E_tot in eV per cell: -90.8
Calculated formation energy in eV per atom: 0.14
Distance to the lowest polymorph of the same formula in eV per atom: 0.032
Magnetic moment in μB per atom: 0.962

Cell lengths 2.6492, 2.6492, 25.1936 Å; angles 90.00, 90.00, 120.00 degrees
Space group R3m (No. 160, hexagonal axes)
Inequivalent atoms, fractional coordinates:
Co: 0.0000 0.0000 0.0000 (multiplicity 3)
Co: 0.0000 0.0000 0.2562 (multiplicity 3)
Ru: 0.0000 0.0000 0.7500 (multiplicity 3)
Rh: 0.0000 0.0000 0.5052 (multiplicity 3)

Record 10
Density functional theory data (PBE) for a geometry-optimized CoRuRh2 structure.

Summary:
E_tot in eV per cell: -29.8
Calculated formation energy in eV per atom: 0.32
Distance to the lowest polymorph of the same formula in eV per atom: 0.261
Magnetic moment in μB per atom: 0.813

Cell lengths 2.725, 4.498, 4.510 Å; angles 90.00, 90.00, 90.00 degrees
Space group Pmmm (No. 47)
Inequivalent atoms, fractional coordinates:
Co: 0.000 0.000 0.000 (multiplicity 1)
Ru: 0.500 0.000 0.500 (multiplicity 1)
Rh: 0.000 0.500 0.500 (multiplicity 1)
Rh: 0.500 0.500 0.000 (multiplicity 1)